Record 1
Compound: AcIn2Au
Source: Alexandria via LeMat-Bulk
Functional: PBE-GGA
Structure: relaxed

Lattice parameters (Å, degrees): 4.725 4.725 17.645 90.00 90.00 120.00
Atoms (fractional coordinates):
Ac  0.000  0.000  0.000
Ac  0.333  0.667  0.667
Ac  0.667  0.333  0.333
In  0.000  0.000  0.216
In  0.000  0.000  0.784
In  0.333  0.667  0.450
In  0.333  0.667  0.883
In  0.667  0.333  0.117
In  0.667  0.333  0.550
Au  0.000  0.000  0.500
Au  0.333  0.667  0.167
Au  0.667  0.333  0.833

Computed properties:
Crystal system: trigonal
Energy above the lowest structure with this stoichiometry: 0.0810 eV/atom
N(E_F): 6.306 states/eV/cell
Energy of formation from the pure elements: -467 meV per atom



Record 2
Compound: NaY4S5
Source: Alexandria via LeMat-Bulk
Functional: PBE-GGA
Structure: relaxed

Lattice parameters (Å, degrees): 10.452 10.452 10.452 158.29 149.29 37.92
Atoms (fractional coordinates):
Na  0.000  0.000  0.000
Y  0.204  0.204  0.000
Y  0.400  0.400  0.000
Y  0.600  0.600  0.000
Y  0.796  0.796  0.000
S  0.104  0.604  0.500
S  0.302  0.802  0.500
S  0.500  0.000  0.500
S  0.698  0.198  0.500
S  0.896  0.396  0.500

Computed properties:
Crystal system: orthorhombic
Formation energy from raw total energies: -1.945 eV per atom
N(E_F): 2.480 states/eV/cell



Record 3
Compound: Cs2TeSe3
Source: Alexandria via LeMat-Bulk
Functional: PBE-GGA
Structure: relaxed

Lattice parameters (Å, degrees): 8.371 8.371 7.762 94.24 94.24 67.35
Atoms (fractional coordinates):
Cs  0.001  0.680  0.797
Cs  0.320  0.999  0.703
Cs  0.680  0.001  0.297
Cs  0.999  0.320  0.203
Te  0.430  0.570  0.250
Te  0.570  0.430  0.750
Se  0.156  0.844  0.250
Se  0.336  0.381  0.489
Se  0.381  0.336  0.989
Se  0.619  0.664  0.011
Se  0.664  0.619  0.511
Se  0.844  0.156  0.750

Computed properties:
Crystal system: monoclinic
Energy above the lowest structure with this stoichiometry: 0.0157 eV/atom
Formation energy from raw total energies: -0.689 eV per atom



Across the entries above, spin magnetization takes the values 0.000 0.000 0.000 μB per cell, respectively.